a:
ScCrCd PBE optimized geometry; magnetization = 14.06 Bohr magnetons per cell; space-group type = F-43m
1.0
6.592 0.000 0.000
0.000 6.592 0.000
0.000 0.000 6.592
Sc Cr Cd
4 4 4
Cartesian
0.000 0.000 0.000
0.000 3.296 3.296
3.296 0.000 3.296
3.296 3.296 0.000
1.648 1.648 1.648
1.648 4.944 4.944
4.944 1.648 4.944
4.944 4.944 1.648
1.648 1.648 4.944
1.648 4.944 1.648
4.944 1.648 1.648
4.944 4.944 4.944

***

b:
ScCrCd PBE optimized geometry; magnetization = 7.41 Bohr magnetons per cell; space-group type = I4mm
1.0
3.546 0.000 0.000
0.000 3.546 0.000
0.000 0.000 9.460
Sc Cr Cd
2 2 2
Cartesian
0.000 0.000 0.000
1.773 1.773 4.730
0.000 0.000 3.279
1.773 1.773 8.009
0.000 0.000 6.451
1.773 1.773 1.721

***

c:
ScCrCd PBE optimized geometry; magnetization = 14.70 Bohr magnetons per cell; space-group type = F-43m
1.0
6.489 0.000 0.000
0.000 6.489 0.000
0.000 0.000 6.489
Sc Cr Cd
4 4 4
Cartesian
0.000 0.000 0.000
0.000 3.245 3.245
3.245 0.000 3.245
3.245 3.245 0.000
1.622 1.622 4.867
1.622 4.867 1.622
4.867 1.622 1.622
4.867 4.867 4.867
0.000 0.000 3.245
0.000 3.245 0.000
3.245 0.000 0.000
3.245 3.245 3.245

***

d:
ScCrCd PBE optimized geometry; magnetization = 3.64 Bohr magnetons per cell; space-group type = P3m1
1.0
4.763 0.000 0.000
-2.382 4.125 0.000
0.000 0.000 3.089
Sc Cr Cd
1 1 1
Cartesian
0.000 0.000 0.000
2.382 1.375 1.820
0.000 2.750 1.364

***

What is the least stable structure shown above? It is a.